w | VASP calculation (PBE) on crystalline CuPtC2 at its relaxed geometry.

Computed properties:
- volume (Å³/f.u.) = 40
- symmetry = Fm-3m
- DOS at the Fermi energy (states/eV per cell) = 2.33
- magnetic moment (μB/f.u.) = 0.00

Unit cell a=3.8298 b=3.8298 c=3.8298 alpha=60.00 beta=60.00 gamma=60.00
Atoms (fractional coordinates):
Cu (0.0000, 0.0000, 0.0000)
Pt (0.5000, 0.5000, 0.5000)
C (0.2500, 0.2500, 0.2500)
C (0.7500, 0.7500, 0.7500)


x | VASP calculation (PBE) on crystalline CuPtC2 at its relaxed geometry.

Computed properties:
- volume (Å³/f.u.) = 50
- symmetry = I-42d
- DOS at the Fermi energy (states/eV per cell) = 3.67
- magnetic moment (μB/f.u.) = 0.00

Unit cell a=4.6547 b=4.6547 c=5.6377 alpha=65.62 beta=65.62 gamma=90.00
Atoms (fractional coordinates):
Cu (0.2500, 0.7500, 0.5000)
Pt (0.7500, 0.2500, 0.5000)
C (0.3750, 0.3720, 0.7500)
C (0.1220, 0.6250, 0.2500)
Pt (0.0000, 0.0000, 0.0000)
C (0.8750, 0.8780, 0.7500)
C (0.6280, 0.1250, 0.2500)
Cu (0.5000, 0.5000, 0.0000)


Pick the least stable structure from those above. Pick: w